# Ac3Np2N7

Crystalline Ac3Np2N7 at its relaxed geometry (GGA-PBE, Alexandria via LeMat-Bulk).

```
Ac3Np2N7
1.0
2.167 -11.360 0.000
2.167 11.360 0.000
0.000 0.000 4.177
Ac Np N
3 2 7
Direct
0.000 0.000 0.000 Ac
0.178 0.822 0.000 Ac
0.822 0.178 0.000 Ac
0.404 0.596 0.500 Np
0.596 0.404 0.500 Np
0.096 0.904 0.500 N
0.312 0.688 0.500 N
0.403 0.597 0.000 N
0.500 0.500 0.500 N
0.597 0.403 0.000 N
0.688 0.312 0.500 N
0.904 0.096 0.500 N
```

Output
N(E_F) = 5.74 states/eV per cell
Formation energy (no corrections) = -12.618 eV per formula unit
Space group = No. 65
Calculated volume = 205.7 Å³/cell



# BeCrIr2

Crystalline BeCrIr2 at its relaxed geometry (GGA-PBE, Alexandria via LeMat-Bulk).

```
BeCrIr2
1.0
2.698 0.000 0.000
0.000 3.700 0.000
0.000 0.000 5.065
Be Cr Ir
1 1 2
Direct
0.000 0.000 0.000 Be
0.500 0.500 0.265 Cr
0.000 0.000 0.480 Ir
0.500 0.500 0.814 Ir
```

Output
N(E_F) = 2.47 states/eV per cell
Formation energy = -0.21 eV/atom
Space group = No. 25
Calculated volume = 50.6 Å³/cell



# Ac2DyPb

Crystalline Ac2DyPb at its relaxed geometry (GGA-PBE, Alexandria via LeMat-Bulk).

```
Ac2DyPb
1.0
3.698 0.000 0.000
-1.849 3.203 0.000
0.000 0.000 38.464
Ac Dy Pb
6 3 3
Direct
0.000 0.000 0.091 Ac
0.000 0.000 0.909 Ac
0.333 0.667 0.576 Ac
0.333 0.667 0.758 Ac
0.667 0.333 0.242 Ac
0.667 0.333 0.424 Ac
0.000 0.000 0.000 Dy
0.333 0.667 0.667 Dy
0.667 0.333 0.333 Dy
0.000 0.000 0.500 Pb
0.333 0.667 0.167 Pb
0.667 0.333 0.833 Pb
```

Output
N(E_F) = 20.24 states/eV per cell
Formation energy = 0.13 eV/atom
Space group = No. 166
Calculated volume = 455.6 Å³/cell